1.
DFT (GGA-PBE) results for a geometry-optimized CaTbCeSm structure.

Geometry as POSCAR:
```
CaTbCeSm
1.0
5.796 0.000 0.000
2.898 5.020 0.000
2.898 1.673 4.733
Ca Tb Ce Sm
1 1 1 1
Direct
0.250 0.250 0.250 Ca
0.000 0.000 0.000 Tb
0.750 0.750 0.750 Ce
0.500 0.500 0.500 Sm
```

formation energy	242	meV per atom
space group	F-43m, No. 216

2.
DFT (GGA-PBE) results for a geometry-optimized CaCeSm2Te4 structure.

Geometry as POSCAR:
```
CaCeSm2Te4
1.0
4.447 0.000 0.000
0.000 7.785 0.163
0.000 -2.692 7.241
Ca Ce Sm Te
1 1 2 4
Direct
0.000 0.000 0.000 Ca
0.500 0.500 0.000 Ce
0.500 0.000 0.500 Sm
0.000 0.500 0.500 Sm
0.500 0.247 0.250 Te
0.500 0.753 0.750 Te
0.000 0.246 0.749 Te
0.000 0.754 0.251 Te
```

ΔE_f (raw)	-1106	kJ/mol of formula units
space group	P2/m, No. 10